No. 1
# ZnP2Cl, relaxed, DFT PBE-GGA
data_ZnP2Cl
_chemical_formula_sum 'Zn4 P8 Cl4'
_symmetry_space_group_name_H-M 'F -4 3 m'
_symmetry_Int_Tables_number 216
_symmetry_space_group_name_Hall 'F -4 2 3'
_cell_length_a 6.412
_cell_length_b 6.412
_cell_length_c 6.412
_cell_angle_alpha 90.00
_cell_angle_beta 90.00
_cell_angle_gamma 90.00
loop_
_atom_site_label
_atom_site_fract_x
_atom_site_fract_y
_atom_site_fract_z
_atom_site_occupancy
Zn1 0.000 0.000 0.000 1
P1 0.000 0.000 0.500 1
P2 0.250 0.250 0.750 1
Cl1 0.250 0.250 0.250 1
# Energy relative to the lowest polymorph listed for this composition: 0.7324 eV per atom
# Raw total energy: -2.973 eV/atom
# N(E_F): 1.60 states/eV/f.u.
# Volume: 16.5 Å³ per atom
# ρ: 4.10 Mg/m³
# Total magnetization: 0.000 μB/cell

***

No. 2
# ZnP2Cl, relaxed, DFT PBE-GGA
data_ZnP2Cl
_chemical_formula_sum 'Zn3 P6 Cl3'
_symmetry_space_group_name_H-M 'R -3 m'
_symmetry_Int_Tables_number 166
_symmetry_space_group_name_Hall '-R 3 2"'
_cell_length_a 3.7299
_cell_length_b 3.7299
_cell_length_c 18.8623
_cell_angle_alpha 90.00
_cell_angle_beta 90.00
_cell_angle_gamma 120.00
loop_
_atom_site_label
_atom_site_fract_x
_atom_site_fract_y
_atom_site_fract_z
_atom_site_occupancy
Zn1 0.0000 0.0000 0.0000 1
P1 0.0000 0.0000 0.2744 1
Cl1 0.0000 0.0000 0.5000 1
# Energy relative to the lowest polymorph listed for this composition: 0.5669 eV per atom
# Raw total energy: -3.138 eV/atom
# N(E_F): 2.04 states/eV/f.u.
# Volume: 18.9 Å³ per atom
# ρ: 3.57 Mg/m³
# Total magnetization: 0.000 μB/cell

***

No. 3
# ZnPCl2, relaxed, DFT PBE-GGA
data_ZnPCl2
_chemical_formula_sum 'Zn1 P1 Cl2'
_symmetry_space_group_name_H-M 'P 4/m m m'
_symmetry_Int_Tables_number 123
_symmetry_space_group_name_Hall '-P 4 2'
_cell_length_a 3.019
_cell_length_b 3.019
_cell_length_c 11.352
_cell_angle_alpha 90.00
_cell_angle_beta 90.00
_cell_angle_gamma 90.00
loop_
_atom_site_label
_atom_site_fract_x
_atom_site_fract_y
_atom_site_fract_z
_atom_site_occupancy
Zn1 0.000 0.000 0.000 1
P1 0.000 0.000 0.500 1
Cl1 0.500 0.500 0.135 1
# Energy relative to the lowest polymorph listed for this composition: 0.6389 eV per atom
# Raw total energy: -2.418 eV/atom
# N(E_F): 1.44 states/eV/f.u.
# Volume: 25.9 Å³ per atom
# ρ: 2.69 Mg/m³
# Total magnetization: 0.469 μB/cell

***

No. 4
# ZnP2Cl, relaxed, DFT PBE-GGA
data_ZnP2Cl
_chemical_formula_sum 'Zn4 P8 Cl4'
_symmetry_space_group_name_H-M 'I -4 2 d'
_symmetry_Int_Tables_number 122
_symmetry_space_group_name_Hall 'I -4 2bw'
_cell_length_a 3.652
_cell_length_b 3.652
_cell_length_c 22.380
_cell_angle_alpha 90.00
_cell_angle_beta 90.00
_cell_angle_gamma 90.00
loop_
_atom_site_label
_atom_site_fract_x
_atom_site_fract_y
_atom_site_fract_z
_atom_site_occupancy
Zn1 0.000 0.000 0.000 1
P1 0.176 0.250 0.125 1
Cl1 0.000 0.000 0.500 1
# Energy relative to the lowest polymorph listed for this composition: 0.2995 eV per atom
# Raw total energy: -3.405 eV/atom
# N(E_F): 1.45 states/eV/f.u.
# Volume: 18.7 Å³ per atom
# ρ: 3.62 Mg/m³
# Total magnetization: 0.000 μB/cell

***

No. 5
# ZnP2Cl, relaxed, DFT PBE-GGA
data_ZnP2Cl
_chemical_formula_sum 'Zn1 P2 Cl1'
_symmetry_space_group_name_H-M 'P 1 2/m 1'
_symmetry_Int_Tables_number 10
_cell_length_a 3.382
_cell_length_b 4.945
_cell_length_c 4.984
_cell_angle_alpha 90.00
_cell_angle_beta 108.42
_cell_angle_gamma 90.00
loop_
_symmetry_equiv_pos_as_xyz
'x,y,z'
'-x,-y,-z'
'-x,y,-z'
'x,-y,z'
loop_
_atom_site_label
_atom_site_fract_x
_atom_site_fract_y
_atom_site_fract_z
_atom_site_occupancy
Zn1 0.000 0.000 0.000 1
P1 0.326 0.500 0.150 1
Cl1 0.000 0.000 0.500 1
# Energy relative to the lowest polymorph listed for this composition: 0.2077 eV per atom
# Raw total energy: -3.497 eV/atom
# N(E_F): 1.12 states/eV/f.u.
# Volume: 19.8 Å³ per atom
# ρ: 3.42 Mg/m³
# Total magnetization: 0.000 μB/cell

***

No. 6
# ZrZnPCl2, relaxed, DFT PBE-GGA
data_ZrZnPCl2
_chemical_formula_sum 'Zr1 Zn1 P1 Cl2'
_symmetry_space_group_name_H-M 'P 4/m m m'
_symmetry_Int_Tables_number 123
_symmetry_space_group_name_Hall '-P 4 2'
_cell_length_a 4.486
_cell_length_b 4.486
_cell_length_c 5.369
_cell_angle_alpha 90.00
_cell_angle_beta 90.00
_cell_angle_gamma 90.00
loop_
_atom_site_label
_atom_site_fract_x
_atom_site_fract_y
_atom_site_fract_z
_atom_site_occupancy
Zr1 0.000 0.000 0.000 1
Zn1 0.500 0.500 0.500 1
P1 0.500 0.500 0.000 1
Cl1 0.000 0.500 0.500 1
# Energy relative to the lowest polymorph listed for this composition: 0.5315 eV per atom
# Raw total energy: -3.789 eV/atom
# N(E_F): 3.88 states/eV/f.u.
# Volume: 21.6 Å³ per atom
# ρ: 3.97 Mg/m³
# Total magnetization: 0.920 μB/cell

***

No. 7
# ZrZnPCl2, relaxed, DFT PBE-GGA
data_ZrZnPCl2
_chemical_formula_sum 'Zr1 Zn1 P1 Cl2'
_symmetry_space_group_name_H-M 'P 4/m m m'
_symmetry_Int_Tables_number 123
_symmetry_space_group_name_Hall '-P 4 2'
_cell_length_a 5.007
_cell_length_b 5.007
_cell_length_c 5.214
_cell_angle_alpha 90.00
_cell_angle_beta 90.00
_cell_angle_gamma 90.00
loop_
_atom_site_label
_atom_site_fract_x
_atom_site_fract_y
_atom_site_fract_z
_atom_site_occupancy
Zr1 0.000 0.000 0.000 1
Zn1 0.500 0.500 0.500 1
P1 0.000 0.000 0.500 1
Cl1 0.000 0.500 0.000 1
# Energy relative to the lowest polymorph listed for this composition: 0.0000 eV per atom
# Raw total energy: -4.321 eV/atom
# N(E_F): 2.05 states/eV/f.u.
# Volume: 26.1 Å³ per atom
# ρ: 3.28 Mg/m³
# Total magnetization: 0.000 μB/cell

***

No. 8
# Zr2PCl, relaxed, DFT PBE-GGA
data_Zr2PCl
_chemical_formula_sum 'Zr8 P4 Cl4'
_symmetry_space_group_name_H-M 'I -4 2 d'
_symmetry_Int_Tables_number 122
_symmetry_space_group_name_Hall 'I -4 2bw'
_cell_length_a 5.836
_cell_length_b 5.836
_cell_length_c 11.592
_cell_angle_alpha 90.00
_cell_angle_beta 90.00
_cell_angle_gamma 90.00
loop_
_atom_site_label
_atom_site_fract_x
_atom_site_fract_y
_atom_site_fract_z
_atom_site_occupancy
Zr1 0.239 0.250 0.125 1
P1 0.000 0.000 0.000 1
Cl1 0.000 0.000 0.500 1
# Raw total energy: -6.508 eV/atom
# N(E_F): 3.90 states/eV/f.u.
# Volume: 24.7 Å³ per atom
# ρ: 4.19 Mg/m³
# Total magnetization: 0.000 μB/cell

***

No. 9
# ZrPCl2, relaxed, DFT PBE-GGA
data_ZrPCl2
_chemical_formula_sum 'Zr1 P1 Cl2'
_symmetry_space_group_name_H-M 'P 1 2/m 1'
_symmetry_Int_Tables_number 10
_cell_length_a 4.261
_cell_length_b 4.046
_cell_length_c 4.951
_cell_angle_alpha 90.00
_cell_angle_beta 104.44
_cell_angle_gamma 90.00
loop_
_symmetry_equiv_pos_as_xyz
'x,y,z'
'-x,-y,-z'
'-x,y,-z'
'x,-y,z'
loop_
_atom_site_label
_atom_site_fract_x
_atom_site_fract_y
_atom_site_fract_z
_atom_site_occupancy
Zr1 0.000 0.000 0.000 1
P1 0.500 0.500 0.000 1
Cl1 0.000 0.000 0.500 1
Cl2 0.500 0.500 0.500 1
# Energy relative to the lowest polymorph listed for this composition: 0.5325 eV per atom
# Raw total energy: -4.913 eV/atom
# N(E_F): 1.93 states/eV/f.u.
# Volume: 20.7 Å³ per atom
# ρ: 3.88 Mg/m³
# Total magnetization: 0.000 μB/cell

***

No. 10
# ZrP2Cl, relaxed, DFT PBE-GGA
data_ZrP2Cl
_chemical_formula_sum 'Zr1 P2 Cl1'
_symmetry_space_group_name_H-M 'P 1 m 1'
_symmetry_Int_Tables_number 6
_cell_length_a 3.726
_cell_length_b 3.335
_cell_length_c 7.846
_cell_angle_alpha 90.00
_cell_angle_beta 90.11
_cell_angle_gamma 90.00
loop_
_symmetry_equiv_pos_as_xyz
'x,y,z'
'x,-y,z'
loop_
_atom_site_label
_atom_site_fract_x
_atom_site_fract_y
_atom_site_fract_z
_atom_site_occupancy
Zr1 0.000 0.000 0.000 1
P1 0.500 0.500 0.115 1
P2 0.502 0.000 0.301 1
Cl1 0.000 0.500 0.749 1
# Energy relative to the lowest polymorph listed for this composition: 0.0000 eV per atom
# Raw total energy: -6.159 eV/atom
# N(E_F): 1.07 states/eV/f.u.
# Volume: 24.4 Å³ per atom
# ρ: 3.21 Mg/m³
# Total magnetization: 0.000 μB/cell

***

What is the total magnetization in the fourth record? 0.000 μB/cell

***

Number 8 is which compound? Zr2PCl

***

Which of these has the lowest volume? number 1